Record 1
Below is Cs2NiHg after structural relaxation, with properties calculated at the PBE-GGA level.

Cell lengths 12.571, 12.571, 9.250 Å; angles 47.20, 47.20, 90.00 degrees
Element x y z (fractional)
Cs: 0.450 0.125 0.250
Cs: 0.300 0.625 0.250
Cs: 0.375 0.550 0.750
Cs: 0.875 0.700 0.750
Ni: 0.500 0.500 0.000
Ni: 0.250 0.750 0.500
Hg: 0.000 0.000 0.000
Hg: 0.750 0.250 0.500

Values from the calculation:
Energy of formation: 0.195 eV per atom



Record 2
Below is Cs2NiHg2 after structural relaxation, with properties calculated at the PBE-GGA level.

Cell lengths 7.582, 7.582, 6.106 Å; angles 90.00, 90.00, 90.00 degrees
Element x y z (fractional)
Cs: 0.673 0.173 0.500
Cs: 0.827 0.673 0.500
Cs: 0.327 0.827 0.500
Cs: 0.173 0.327 0.500
Ni: 0.000 0.000 0.000
Ni: 0.500 0.500 0.000
Hg: 0.827 0.327 0.000
Hg: 0.673 0.827 0.000
Hg: 0.173 0.673 0.000
Hg: 0.327 0.173 0.000

Values from the calculation:
Energy of formation: 0.184 eV per atom



Record 3
Below is Cs2NiHg4 after structural relaxation, with properties calculated at the PBE-GGA level.

Cell lengths 5.317, 5.317, 10.228 Å; angles 74.93, 74.93, 90.00 degrees
Element x y z (fractional)
Cs: 0.651 0.651 0.698
Cs: 0.349 0.349 0.302
Ni: 0.000 0.000 0.000
Hg: 0.864 0.864 0.272
Hg: 0.136 0.136 0.728
Hg: 0.000 0.500 0.000
Hg: 0.500 0.000 0.000

Values from the calculation:
Energy of formation: -0.146 eV per atom



Record 4
Below is CsNiHg2Sb after structural relaxation, with properties calculated at the PBE-GGA level.

Cell lengths 5.373, 5.373, 5.055 Å; angles 90.00, 90.00, 90.00 degrees
Element x y z (fractional)
Cs: 0.500 0.500 0.500
Sb: 0.000 0.000 0.500
Hg: 0.000 0.500 0.000
Hg: 0.500 0.000 0.000
Ni: 0.000 0.000 0.000

Values from the calculation:
Uncorrected formation energy: -33 kJ/mol of formula units



Record 5
Below is CsNiSnHg2 after structural relaxation, with properties calculated at the PBE-GGA level.

Cell lengths 5.386, 5.386, 4.999 Å; angles 90.00, 90.00, 90.00 degrees
Element x y z (fractional)
Cs: 0.500 0.500 0.500
Ni: 0.000 0.000 0.000
Hg: 0.000 0.500 0.000
Hg: 0.500 0.000 0.000
Sn: 0.000 0.000 0.500

Values from the calculation:
Energy of formation: -0.067 eV per atom



Record 6
Below is CsTl2NiHg after structural relaxation, with properties calculated at the PBE-GGA level.

Cell lengths 5.283, 5.283, 5.427 Å; angles 90.00, 90.00, 90.00 degrees
Element x y z (fractional)
Cs: 0.500 0.500 0.500
Ni: 0.000 0.000 0.000
Tl: 0.000 0.500 0.000
Tl: 0.500 0.000 0.000
Hg: 0.000 0.000 0.500

Values from the calculation:
Energy of formation: -0.004 eV per atom



Record 7
Below is CsZnNiHg2 after structural relaxation, with properties calculated at the PBE-GGA level.

Cell lengths 5.235, 5.235, 4.871 Å; angles 90.00, 90.00, 90.00 degrees
Element x y z (fractional)
Cs: 0.500 0.500 0.500
Ni: 0.000 0.000 0.000
Zn: 0.000 0.000 0.500
Hg: 0.000 0.500 0.000
Hg: 0.500 0.000 0.000

Values from the calculation:
Energy of formation: -0.037 eV per atom



Record 8
Below is Cs3Np2HgO9 after structural relaxation, with properties calculated at the PBE-GGA level.

Cell lengths 6.284, 6.284, 7.754 Å; angles 90.00, 90.00, 120.00 degrees
Element x y z (fractional)
Cs: 0.333 0.667 0.653
Cs: 0.000 0.000 0.000
Cs: 0.667 0.333 0.347
Np: 0.333 0.667 0.157
Np: 0.667 0.333 0.843
Hg: 0.000 0.000 0.500
O: 0.816 0.184 0.696
O: 0.816 0.631 0.696
O: 0.369 0.184 0.696
O: 0.631 0.816 0.304
O: 0.184 0.369 0.304
O: 0.184 0.816 0.304
O: 0.500 0.000 0.000
O: 0.000 0.500 0.000
O: 0.500 0.500 0.000

Values from the calculation:
Uncorrected formation energy: -3013 kJ/mol of formula units



Record 9
Below is Cs2NpHg2S6 after structural relaxation, with properties calculated at the PBE-GGA level.

Cell lengths 7.699, 7.699, 8.384 Å; angles 62.67, 62.67, 60.00 degrees
Element x y z (fractional)
Cs: 0.780 0.780 0.659
Cs: 0.220 0.220 0.341
Np: 0.000 0.000 0.000
Hg: 0.399 0.399 0.803
Hg: 0.601 0.601 0.197
S: 0.775 0.775 0.227
S: 0.223 0.775 0.227
S: 0.775 0.223 0.227
S: 0.225 0.777 0.773
S: 0.777 0.225 0.773
S: 0.225 0.225 0.773

Values from the calculation:
Uncorrected formation energy: -736 kJ/mol of formula units



Record 10
Below is Cs3Np2HgSe6 after structural relaxation, with properties calculated at the PBE-GGA level.

Cell lengths 7.639, 7.639, 8.549 Å; angles 97.39, 97.39, 121.73 degrees
Element x y z (fractional)
Cs: 0.153 0.847 0.500
Cs: 0.847 0.153 0.500
Cs: 0.500 0.500 0.500
Np: 0.329 0.671 0.000
Np: 0.671 0.329 0.000
Hg: 0.000 0.000 0.000
Se: 0.939 0.570 0.804
Se: 0.727 0.727 0.163
Se: 0.061 0.430 0.196
Se: 0.570 0.939 0.804
Se: 0.273 0.273 0.837
Se: 0.430 0.061 0.196

Values from the calculation:
Uncorrected formation energy: -1180 kJ/mol of formula units



Record 11
Below is Cs2NpHg2Se6 after structural relaxation, with properties calculated at the PBE-GGA level.

Cell lengths 8.081, 8.081, 8.679 Å; angles 62.25, 62.25, 60.00 degrees
Element x y z (fractional)
Cs: 0.776 0.776 0.673
Cs: 0.224 0.224 0.327
Np: 0.000 0.000 0.000
Hg: 0.401 0.401 0.796
Hg: 0.599 0.599 0.204
Se: 0.772 0.772 0.239
Se: 0.218 0.772 0.239
Se: 0.772 0.218 0.239
Se: 0.228 0.782 0.761
Se: 0.782 0.228 0.761
Se: 0.228 0.228 0.761

Values from the calculation:
Uncorrected formation energy: -689 kJ/mol of formula units



Record 12
Below is Cs3NpHg2Se6 after structural relaxation, with properties calculated at the PBE-GGA level.

Cell lengths 7.586, 7.586, 9.461 Å; angles 90.00, 90.00, 120.00 degrees
Element x y z (fractional)
Cs: 0.333 0.667 0.653
Cs: 0.667 0.333 0.347
Cs: 0.000 0.000 0.000
Np: 0.000 0.000 0.500
Hg: 0.667 0.333 0.928
Hg: 0.333 0.667 0.072
Se: 0.678 0.839 0.335
Se: 0.161 0.322 0.335
Se: 0.161 0.839 0.335
Se: 0.839 0.678 0.665
Se: 0.322 0.161 0.665
Se: 0.839 0.161 0.665

Values from the calculation:
Uncorrected formation energy: -765 kJ/mol of formula units



Spin magnetization list, top to bottom, in μB/f.u.: 0.0 0.0 0.0 0.0 0.0 0.0 0.0 1.0 0.9 7.0 0.9 1.4